# ZnCrRu2, optimized geometry, DFT GGA-PBE
# * ΔH_f (0 K): 0.25 eV per atom
# * Fermi-level density of states: 4.305 states/eV/f.u.
# * volume: 14.0 Å³ per atom
# * M_tot: 1.923 μB per formula unit
# * E_tot: -7.110 eV/atom
data_ZnCrRu2
_symmetry_space_group_name_H-M 'P m m m'
_symmetry_Int_Tables_number 47
_symmetry_space_group_name_Hall '-P 2 2'
_cell_length_a 2.9453
_cell_length_b 4.1944
_cell_length_c 4.5210
_cell_angle_alpha 90.00
_cell_angle_beta 90.00
_cell_angle_gamma 90.00
loop_
_atom_site_label
_atom_site_type_symbol
_atom_site_fract_x
_atom_site_fract_y
_atom_site_fract_z
Zn1 Zn 0.0000 0.0000 0.0000
Cr1 Cr 0.5000 0.0000 0.5000
Ru1 Ru 0.0000 0.5000 0.5000
Ru2 Ru 0.5000 0.5000 0.0000



# Co4P5, optimized geometry, DFT GGA-PBE
# * ΔH_f (0 K): 0.26 eV per atom
# * Fermi-level density of states: 6.101 states/eV/f.u.
# * volume: 12.5 Å³ per atom
# * M_tot: 0.000 μB per formula unit
# * E above lowest polymorph: 185 meV per atom
# * E_tot: -5.900 eV/atom
data_Co4P5
_symmetry_space_group_name_H-M 'I 4/m m m'
_symmetry_Int_Tables_number 139
_symmetry_space_group_name_Hall '-I 4 2'
_cell_length_a 7.1517
_cell_length_b 7.1517
_cell_length_c 4.4123
_cell_angle_alpha 90.00
_cell_angle_beta 90.00
_cell_angle_gamma 90.00
loop_
_atom_site_label
_atom_site_type_symbol
_atom_site_fract_x
_atom_site_fract_y
_atom_site_fract_z
Co1 Co 0.0000 0.2969 0.0000
P1 P 0.0000 0.0000 0.0000
P2 P 0.1783 0.1783 0.5000



# Mg6Tl2In3, optimized geometry, DFT GGA-PBE
# * ΔH_f (0 K): -0.03 eV per atom
# * Fermi-level density of states: 5.718 states/eV/f.u.
# * volume: 24.5 Å³ per atom
# * M_tot: 0.000 μB per formula unit
# * E_tot: -2.081 eV/atom
data_Mg6Tl2In3
_symmetry_space_group_name_H-M 'R -3 m'
_symmetry_Int_Tables_number 166
_symmetry_space_group_name_Hall '-R 3 2"'
_cell_length_a 3.4524
_cell_length_b 3.4524
_cell_length_c 78.2721
_cell_angle_alpha 90.00
_cell_angle_beta 90.00
_cell_angle_gamma 120.00
loop_
_atom_site_label
_atom_site_type_symbol
_atom_site_fract_x
_atom_site_fract_y
_atom_site_fract_z
Mg1 Mg 0.0000 0.0000 0.0900
Mg2 Mg 0.0000 0.0000 0.1821
Mg3 Mg 0.0000 0.0000 0.3632
Tl1 Tl 0.0000 0.0000 0.4539
In1 In 0.0000 0.0000 0.0000
In2 In 0.0000 0.0000 0.2734



# CdHg2Ge, optimized geometry, DFT GGA-PBE
# * ΔH_f (0 K): 0.15 eV per atom
# * Fermi-level density of states: 1.820 states/eV/f.u.
# * volume: 23.6 Å³ per atom
# * M_tot: 0.000 μB per formula unit
# * E above lowest polymorph: 0 meV per atom
# * E_tot: -1.380 eV/atom
data_CdHg2Ge
_symmetry_space_group_name_H-M 'R -3 m'
_symmetry_Int_Tables_number 166
_symmetry_space_group_name_Hall '-R 3 2"'
_cell_length_a 3.1949
_cell_length_b 3.1949
_cell_length_c 32.0129
_cell_angle_alpha 90.00
_cell_angle_beta 90.00
_cell_angle_gamma 120.00
loop_
_atom_site_label
_atom_site_type_symbol
_atom_site_fract_x
_atom_site_fract_y
_atom_site_fract_z
Cd1 Cd 0.0000 0.0000 0.0000
Hg1 Hg 0.0000 0.0000 0.4139
Ge1 Ge 0.0000 0.0000 0.5000



# BePNF2, optimized geometry, DFT GGA-PBE
# * Fermi-level density of states: 1.764 states/eV/f.u.
# * volume: 12.2 Å³ per atom
# * M_tot: 0.713 μB per formula unit
# * E above lowest polymorph: 956 meV per atom
# * E_tot: -4.233 eV/atom
data_BePNF2
_symmetry_space_group_name_H-M 'P 4/m m m'
_symmetry_Int_Tables_number 123
_symmetry_space_group_name_Hall '-P 4 2'
_cell_length_a 4.3314
_cell_length_b 4.3314
_cell_length_c 3.2562
_cell_angle_alpha 90.00
_cell_angle_beta 90.00
_cell_angle_gamma 90.00
loop_
_atom_site_label
_atom_site_type_symbol
_atom_site_fract_x
_atom_site_fract_y
_atom_site_fract_z
Be1 Be 0.0000 0.0000 0.0000
P1 P 0.5000 0.5000 0.5000
N1 N 0.5000 0.5000 0.0000
F1 F 0.0000 0.5000 0.5000



# NdSm3N, optimized geometry, DFT GGA-PBE
# * Fermi-level density of states: 7.846 states/eV/f.u.
# * volume: 26.5 Å³ per atom
# * M_tot: 0.009 μB per formula unit
# * E_tot: -5.903 eV/atom
data_NdSm3N
_symmetry_space_group_name_H-M 'P m -3 m'
_symmetry_Int_Tables_number 221
_symmetry_space_group_name_Hall '-P 4 2 3'
_cell_length_a 5.1007
_cell_length_b 5.1007
_cell_length_c 5.1007
_cell_angle_alpha 90.00
_cell_angle_beta 90.00
_cell_angle_gamma 90.00
loop_
_atom_site_label
_atom_site_type_symbol
_atom_site_fract_x
_atom_site_fract_y
_atom_site_fract_z
Nd1 Nd 0.0000 0.0000 0.0000
Sm1 Sm 0.0000 0.5000 0.5000
N1 N 0.5000 0.5000 0.5000



# TaRu2Pb2, optimized geometry, DFT GGA-PBE
# * ΔH_f (0 K): 0.44 eV per atom
# * Fermi-level density of states: 5.039 states/eV/f.u.
# * volume: 20.0 Å³ per atom
# * M_tot: 0.000 μB per formula unit
# * E above lowest polymorph: 0 meV per atom
# * E_tot: -7.128 eV/atom
data_TaRu2Pb2
_symmetry_space_group_name_H-M 'P 4/m b m'
_symmetry_Int_Tables_number 127
_symmetry_space_group_name_Hall '-P 4 2ab'
_cell_length_a 6.7587
_cell_length_b 6.7587
_cell_length_c 4.3702
_cell_angle_alpha 90.00
_cell_angle_beta 90.00
_cell_angle_gamma 90.00
loop_
_atom_site_label
_atom_site_type_symbol
_atom_site_fract_x
_atom_site_fract_y
_atom_site_fract_z
Ta1 Ta 0.0000 0.0000 0.0000
Ru1 Ru 0.1369 0.3631 0.0000
Pb1 Pb 0.1747 0.6747 0.5000



# Sr2NbF, optimized geometry, DFT GGA-PBE
# * Fermi-level density of states: 1.658 states/eV/f.u.
# * volume: 31.8 Å³ per atom
# * M_tot: 5.886 μB per formula unit
# * E above lowest polymorph: 557 meV per atom
# * E_tot: -3.791 eV/atom
data_Sr2NbF
_symmetry_space_group_name_H-M 'F m -3 m'
_symmetry_Int_Tables_number 225
_symmetry_space_group_name_Hall '-F 4 2 3'
_cell_length_a 7.9829
_cell_length_b 7.9829
_cell_length_c 7.9829
_cell_angle_alpha 90.00
_cell_angle_beta 90.00
_cell_angle_gamma 90.00
loop_
_atom_site_label
_atom_site_type_symbol
_atom_site_fract_x
_atom_site_fract_y
_atom_site_fract_z
Sr1 Sr 0.2500 0.2500 0.2500
Nb1 Nb 0.0000 0.0000 0.0000
F1 F 0.0000 0.0000 0.5000



# BaLiZnCd2, optimized geometry, DFT GGA-PBE
# * ΔH_f (0 K): -0.11 eV per atom
# * Fermi-level density of states: 2.814 states/eV/f.u.
# * volume: 28.2 Å³ per atom
# * M_tot: 0.000 μB per formula unit
# * E above lowest polymorph: 7 meV per atom
# * E_tot: -1.497 eV/atom
data_BaLiZnCd2
_symmetry_space_group_name_H-M 'P 4/m m m'
_symmetry_Int_Tables_number 123
_symmetry_space_group_name_Hall '-P 4 2'
_cell_length_a 5.2048
_cell_length_b 5.2048
_cell_length_c 5.2114
_cell_angle_alpha 90.00
_cell_angle_beta 90.00
_cell_angle_gamma 90.00
loop_
_atom_site_label
_atom_site_type_symbol
_atom_site_fract_x
_atom_site_fract_y
_atom_site_fract_z
Ba1 Ba 0.0000 0.0000 0.0000
Li1 Li 0.5000 0.5000 0.0000
Zn1 Zn 0.5000 0.5000 0.5000
Cd1 Cd 0.0000 0.5000 0.5000



# Zr2Sc2S3, optimized geometry, DFT GGA-PBE
# * Fermi-level density of states: 3.451 states/eV/f.u.
# * volume: 19.1 Å³ per atom
# * M_tot: 0.000 μB per formula unit
# * E_tot: -7.453 eV/atom
data_Zr2Sc2S3
_symmetry_space_group_name_H-M 'C 1 2/m 1'
_symmetry_Int_Tables_number 12
_symmetry_space_group_name_Hall '-C 2y'
_cell_length_a 11.7994
_cell_length_b 3.6523
_cell_length_c 6.3016
_cell_angle_alpha 90.00
_cell_angle_beta 99.91
_cell_angle_gamma 90.00
loop_
_atom_site_label
_atom_site_type_symbol
_atom_site_fract_x
_atom_site_fract_y
_atom_site_fract_z
Zr1 Zr 0.1249 0.0000 0.3822
Sc1 Sc 0.1262 0.5000 0.8673
S1 S 0.0000 0.0000 0.0000
S2 S 0.2458 0.5000 0.2439



# Pu12GaRh6, optimized geometry, DFT GGA-PBE
# * ΔH_f (0 K): -0.26 eV per atom
# * Fermi-level density of states: 59.302 states/eV/f.u.
# * volume: 20.2 Å³ per atom
# * M_tot: 0.067 μB per formula unit
# * E_tot: -11.788 eV/atom
data_Pu12GaRh6
_symmetry_space_group_name_H-M 'R -3'
_symmetry_Int_Tables_number 148
_symmetry_space_group_name_Hall '-R 3'
_cell_length_a 10.6694
_cell_length_b 10.6694
_cell_length_c 11.6768
_cell_angle_alpha 90.00
_cell_angle_beta 90.00
_cell_angle_gamma 120.00
loop_
_atom_site_label
_atom_site_type_symbol
_atom_site_fract_x
_atom_site_fract_y
_atom_site_fract_z
Pu1 Pu 0.0556 0.8197 0.4129
Pu2 Pu 0.0588 0.1865 0.7850
Ga1 Ga 0.0000 0.0000 0.0000
Rh1 Rh 0.0595 0.4566 0.7129



# InS2ClF, optimized geometry, DFT GGA-PBE
# * Fermi-level density of states: 5.638 states/eV/f.u.
# * volume: 22.0 Å³ per atom
# * M_tot: 0.002 μB per formula unit
# * E above lowest polymorph: 0 meV per atom
# * E_tot: -2.768 eV/atom
data_InS2ClF
_symmetry_space_group_name_H-M 'P 4/m m m'
_symmetry_Int_Tables_number 123
_symmetry_space_group_name_Hall '-P 4 2'
_cell_length_a 4.2280
_cell_length_b 4.2280
_cell_length_c 6.1649
_cell_angle_alpha 90.00
_cell_angle_beta 90.00
_cell_angle_gamma 90.00
loop_
_atom_site_label
_atom_site_type_symbol
_atom_site_fract_x
_atom_site_fract_y
_atom_site_fract_z
In1 In 0.0000 0.0000 0.0000
S1 S 0.0000 0.5000 0.5000
Cl1 Cl 0.5000 0.5000 0.0000
F1 F 0.5000 0.5000 0.5000



# Rb2NbHCl6, optimized geometry, DFT GGA-PBE
# * Fermi-level density of states: 0.915 states/eV/f.u.
# * volume: 29.3 Å³ per atom
# * M_tot: 2.000 μB per formula unit
# * E_tot: -3.890 eV/atom
data_Rb2NbHCl6
_symmetry_space_group_name_H-M 'I 4/m m m'
_symmetry_Int_Tables_number 139
_symmetry_space_group_name_Hall '-I 4 2'
_cell_length_a 8.0228
_cell_length_b 8.0228
_cell_length_c 9.0939
_cell_angle_alpha 90.00
_cell_angle_beta 90.00
_cell_angle_gamma 90.00
loop_
_atom_site_label
_atom_site_type_symbol
_atom_site_fract_x
_atom_site_fract_y
_atom_site_fract_z
Rb1 Rb 0.0000 0.5000 0.2500
Nb1 Nb 0.0000 0.0000 0.0000
H1 H 0.0000 0.0000 0.5000
Cl1 Cl 0.0000 0.0000 0.3229
Cl2 Cl 0.2162 0.2162 0.0000



# BaAc4Bi5, optimized geometry, DFT GGA-PBE
# * ΔH_f (0 K): -0.94 eV per atom
# * Fermi-level density of states: 5.945 states/eV/f.u.
# * volume: 42.1 Å³ per atom
# * M_tot: 0.000 μB per formula unit
# * E_tot: -4.715 eV/atom
data_BaAc4Bi5
_symmetry_space_group_name_H-M 'I m m m'
_symmetry_Int_Tables_number 71
_symmetry_space_group_name_Hall '-I 2 2'
_cell_length_a 4.8916
_cell_length_b 6.9485
_cell_length_c 24.7546
_cell_angle_alpha 90.00
_cell_angle_beta 90.00
_cell_angle_gamma 90.00
loop_
_atom_site_label
_atom_site_type_symbol
_atom_site_fract_x
_atom_site_fract_y
_atom_site_fract_z
Ba1 Ba 0.0000 0.0000 0.0000
Ac1 Ac 0.0000 0.0000 0.2015
Ac2 Ac 0.0000 0.0000 0.4008
Bi1 Bi 0.0000 0.5000 0.0000
Bi2 Bi 0.0000 0.5000 0.1989
Bi3 Bi 0.0000 0.5000 0.3942



# Pm12Hg2Ge5, optimized geometry, DFT GGA-PBE
# * ΔH_f (0 K): -0.39 eV per atom
# * Fermi-level density of states: 21.387 states/eV/f.u.
# * volume: 31.1 Å³ per atom
# * M_tot: 0.002 μB per formula unit
# * E_tot: -4.641 eV/atom
data_Pm12Hg2Ge5
_symmetry_space_group_name_H-M 'C 1 2/m 1'
_symmetry_Int_Tables_number 12
_symmetry_space_group_name_Hall '-C 2y'
_cell_length_a 16.9938
_cell_length_b 7.3857
_cell_length_c 9.6288
_cell_angle_alpha 90.00
_cell_angle_beta 102.00
_cell_angle_gamma 90.00
loop_
_atom_site_label
_atom_site_type_symbol
_atom_site_fract_x
_atom_site_fract_y
_atom_site_fract_z
Pm1 Pm 0.0115 0.0000 0.2973
Pm2 Pm 0.0325 0.5000 0.8086
Pm3 Pm 0.1490 0.2539 0.5615
Pm4 Pm 0.1799 0.2446 0.1096
Hg1 Hg 0.0000 0.1941 0.0000
Ge1 Ge 0.0000 0.5000 0.5000
Ge2 Ge 0.1717 0.0000 0.8251
Ge3 Ge 0.2028 0.0000 0.3589



# Y2CuGe, optimized geometry, DFT GGA-PBE
# * ΔH_f (0 K): 0.19 eV per atom
# * Fermi-level density of states: 2.615 states/eV/f.u.
# * volume: 30.0 Å³ per atom
# * M_tot: 0.000 μB per formula unit
# * E_tot: -5.224 eV/atom
data_Y2CuGe
_symmetry_space_group_name_H-M 'I -4 2 d'
_symmetry_Int_Tables_number 122
_symmetry_space_group_name_Hall 'I -4 2bw'
_cell_length_a 5.4300
_cell_length_b 5.4300
_cell_length_c 16.2991
_cell_angle_alpha 90.00
_cell_angle_beta 90.00
_cell_angle_gamma 90.00
loop_
_atom_site_label
_atom_site_type_symbol
_atom_site_fract_x
_atom_site_fract_y
_atom_site_fract_z
Y1 Y 0.2447 0.2500 0.1250
Cu1 Cu 0.0000 0.0000 0.0000
Ge1 Ge 0.0000 0.0000 0.5000



# In2OsCl2, optimized geometry, DFT GGA-PBE
# * Fermi-level density of states: 1.912 states/eV/f.u.
# * volume: 22.4 Å³ per atom
# * M_tot: 1.617 μB per formula unit
# * E above lowest polymorph: 416 meV per atom
# * E_tot: -3.384 eV/atom
data_In2OsCl2
_symmetry_space_group_name_H-M 'I 4/m m m'
_symmetry_Int_Tables_number 139
_symmetry_space_group_name_Hall '-I 4 2'
_cell_length_a 4.0747
_cell_length_b 4.0747
_cell_length_c 13.5164
_cell_angle_alpha 90.00
_cell_angle_beta 90.00
_cell_angle_gamma 90.00
loop_
_atom_site_label
_atom_site_type_symbol
_atom_site_fract_x
_atom_site_fract_y
_atom_site_fract_z
In1 In 0.0000 0.0000 0.1064
Os1 Os 0.0000 0.0000 0.5000
Cl1 Cl 0.0000 0.5000 0.2500



# NiBi6Ru, optimized geometry, DFT GGA-PBE
# * ΔH_f (0 K): 0.11 eV per atom
# * Fermi-level density of states: 6.010 states/eV/f.u.
# * volume: 27.1 Å³ per atom
# * M_tot: 0.000 μB per formula unit
# * E_tot: -4.684 eV/atom
data_NiBi6Ru
_symmetry_space_group_name_H-M 'C 1 2/m 1'
_symmetry_Int_Tables_number 12
_symmetry_space_group_name_Hall '-C 2y'
_cell_length_a 6.2304
_cell_length_b 11.7892
_cell_length_c 5.8955
_cell_angle_alpha 90.00
_cell_angle_beta 90.15
_cell_angle_gamma 90.00
loop_
_atom_site_label
_atom_site_type_symbol
_atom_site_fract_x
_atom_site_fract_y
_atom_site_fract_z
Ni1 Ni 0.0000 0.0000 0.0000
Bi1 Bi 0.1390 0.5000 0.2415
Bi2 Bi 0.1891 0.1678 0.2453
Ru1 Ru 0.0000 0.0000 0.5000



# Al2TlW, optimized geometry, DFT GGA-PBE
# * ΔH_f (0 K): 0.82 eV per atom
# * Fermi-level density of states: 1.381 states/eV/f.u.
# * volume: 20.7 Å³ per atom
# * M_tot: 0.000 μB per formula unit
# * E above lowest polymorph: 531 meV per atom
# * E_tot: -4.885 eV/atom
data_Al2TlW
_symmetry_space_group_name_H-M 'I -4 2 d'
_symmetry_Int_Tables_number 122
_symmetry_space_group_name_Hall 'I -4 2bw'
_cell_length_a 7.6590
_cell_length_b 7.6590
_cell_length_c 5.6413
_cell_angle_alpha 90.00
_cell_angle_beta 90.00
_cell_angle_gamma 90.00
loop_
_atom_site_label
_atom_site_type_symbol
_atom_site_fract_x
_atom_site_fract_y
_atom_site_fract_z
Al1 Al 0.2107 0.2500 0.1250
Tl1 Tl 0.0000 0.0000 0.5000
W1 W 0.0000 0.0000 0.0000



# Rb2YAu, optimized geometry, DFT GGA-PBE
# * ΔH_f (0 K): 0.64 eV per atom
# * Fermi-level density of states: 5.592 states/eV/f.u.
# * volume: 41.8 Å³ per atom
# * M_tot: 1.652 μB per formula unit
# * E above lowest polymorph: 411 meV per atom
# * E_tot: -2.283 eV/atom
data_Rb2YAu
_symmetry_space_group_name_H-M 'F m -3 m'
_symmetry_Int_Tables_number 225
_symmetry_space_group_name_Hall '-F 4 2 3'
_cell_length_a 8.7484
_cell_length_b 8.7484
_cell_length_c 8.7484
_cell_angle_alpha 90.00
_cell_angle_beta 90.00
_cell_angle_gamma 90.00
loop_
_atom_site_label
_atom_site_type_symbol
_atom_site_fract_x
_atom_site_fract_y
_atom_site_fract_z
Rb1 Rb 0.2500 0.2500 0.2500
Y1 Y 0.0000 0.0000 0.0000
Au1 Au 0.0000 0.0000 0.5000